(1)
Sm3Tm3ScS8: relaxed, PBE. Values from VASP.

```
&SYSTEM
  ibrav = 0, nat = 15, ntyp = 4
/
ATOMIC_SPECIES
Sm 150.36 Sm.upf
Tm 168.93 Tm.upf
Sc 44.96 Sc.upf
S 32.06 S.upf
CELL_PARAMETERS angstrom
3.881 2.241 6.438
-3.881 2.241 6.438
0.000 -4.482 6.438
ATOMIC_POSITIONS angstrom
Sm -1.941 -1.120 6.438
Sm -1.941 1.120 12.876
Sm 0.000 2.241 6.438
Tm -3.881 0.000 9.657
Tm -1.941 1.120 3.219
Tm 1.941 1.120 3.219
Sc 0.000 0.000 9.657
S 0.000 0.000 4.733
S -1.917 -1.106 11.152
S 0.000 -2.213 8.162
S -1.917 1.106 8.162
S 1.917 -1.106 11.152
S 0.000 2.213 11.152
S 1.917 1.106 8.162
S 0.000 0.000 14.581
```

Output
As for the uncorrected formation energy: -2.02 eV/atom. As for the energy: -97.3 eV per formula unit.

=====

(2)
NaAlPt: relaxed, PBE. Values from VASP.

```
&SYSTEM
  ibrav = 0, nat = 6, ntyp = 3
/
ATOMIC_SPECIES
Na 22.99 Na.upf
Al 26.98 Al.upf
Pt 195.08 Pt.upf
CELL_PARAMETERS angstrom
4.161 0.000 0.000
0.000 4.161 0.000
0.000 0.000 7.150
ATOMIC_POSITIONS angstrom
Na 1.040 1.040 0.954
Na 3.121 3.121 6.197
Al 1.040 3.121 3.575
Al 3.121 1.040 3.575
Pt 1.040 1.040 4.948
Pt 3.121 3.121 2.203
```

Output
The value obtained for the formation energy is -1.87 eV per formula unit. As for the energy: -13.0 eV per formula unit.

=====

(3)
VP3H: relaxed, PBE. Values from VASP.

```
&SYSTEM
  ibrav = 0, nat = 5, ntyp = 3
/
ATOMIC_SPECIES
V 50.94 V.upf
P 30.97 P.upf
H 1.01 H.upf
CELL_PARAMETERS angstrom
3.929 0.000 0.000
0.000 3.929 0.000
0.000 0.000 3.929
ATOMIC_POSITIONS angstrom
V 0.000 0.000 0.000
P 0.000 1.965 1.965
P 1.965 0.000 1.965
P 1.965 1.965 0.000
H 1.965 1.965 1.965
```

Output
The polymorph energy (0 for the lowest one) is 0 meV per atom. As for the energy: -25.6 eV per formula unit.

=====

(4)
VPIr: relaxed, PBE. Values from VASP.

```
&SYSTEM
  ibrav = 0, nat = 3, ntyp = 3
/
ATOMIC_SPECIES
V 50.94 V.upf
P 30.97 P.upf
Ir 192.22 Ir.upf
CELL_PARAMETERS angstrom
-1.697 1.697 3.638
1.697 -1.697 3.638
1.697 1.697 -3.638
ATOMIC_POSITIONS angstrom
V 0.000 0.000 0.000
P 0.000 0.000 2.380
Ir 0.000 0.000 4.779
```

Output
The value obtained for the formation energy is -0.56 eV per formula unit. As for the energy: -23.9 eV per formula unit.

=====

(5)
Zn2NiHgSb: relaxed, PBE. Values from VASP.

```
&SYSTEM
  ibrav = 0, nat = 5, ntyp = 4
/
ATOMIC_SPECIES
Zn 65.41 Zn.upf
Ni 58.69 Ni.upf
Hg 200.59 Hg.upf
Sb 121.76 Sb.upf
CELL_PARAMETERS angstrom
4.761 0.000 0.000
0.000 4.761 0.000
0.000 0.000 4.799
ATOMIC_POSITIONS angstrom
Zn 0.000 2.380 0.000
Zn 2.380 0.000 0.000
Ni 0.000 0.000 0.000
Hg 2.380 2.380 2.399
Sb 0.000 0.000 2.399
```

Output
As for the uncorrected formation energy: 0.10 eV/atom. The polymorph energy (0 for the lowest one) is 0 meV per atom. As for the energy: -12.2 eV per formula unit.

=====

(6)
Tl2HgCl: relaxed, PBE. Values from VASP.

```
&SYSTEM
  ibrav = 0, nat = 4, ntyp = 3
/
ATOMIC_SPECIES
Tl 204.38 Tl.upf
Hg 200.59 Hg.upf
Cl 35.45 Cl.upf
CELL_PARAMETERS angstrom
5.327 -2.474 0.000
5.327 2.474 0.000
-2.488 0.000 4.530
ATOMIC_POSITIONS angstrom
Tl 1.931 0.000 1.072
Tl 6.235 0.000 3.458
Hg 5.327 0.000 0.000
Cl -1.244 0.000 2.265
```

Output
As for the uncorrected formation energy: -0.38 eV/atom. The polymorph energy (0 for the lowest one) is 62 meV per atom. As for the energy: -8.4 eV per formula unit.

=====

(7)
LaDy7Er12: relaxed, PBE. Values from VASP.

```
&SYSTEM
  ibrav = 0, nat = 20, ntyp = 3
/
ATOMIC_SPECIES
La 138.91 La.upf
Dy 162.50 Dy.upf
Er 167.26 Er.upf
CELL_PARAMETERS angstrom
-5.610 5.610 5.610
5.610 -5.610 5.610
5.610 5.610 -5.610
ATOMIC_POSITIONS angstrom
La 0.000 0.000 0.000
Dy 2.805 2.805 -2.805
Dy 2.805 -2.805 2.805
Dy 5.610 0.000 0.000
Dy -2.805 2.805 2.805
Dy 0.000 5.610 0.000
Dy 0.000 0.000 5.610
Dy 2.805 2.805 2.805
Er 5.610 -2.710 2.718
Er 2.718 5.610 -2.710
Er 2.900 2.891 0.000
Er 2.891 0.000 2.900
Er 8.319 2.891 0.000
Er 5.610 2.710 2.718
Er 0.000 2.900 2.891
Er -2.710 2.718 5.610
Er 2.718 5.610 2.710
Er 2.710 2.718 5.610
Er 2.891 0.000 8.319
Er 0.000 8.319 2.891
```

Output
The polymorph energy (0 for the lowest one) is 468 meV per atom. The value obtained for the formation energy is 14.17 eV per formula unit. As for the energy: -77.7 eV per formula unit.

=====

(8)
CrSiPt2: relaxed, PBE. Values from VASP.

```
&SYSTEM
  ibrav = 0, nat = 4, ntyp = 3
/
ATOMIC_SPECIES
Cr 52.00 Cr.upf
Si 28.09 Si.upf
Pt 195.08 Pt.upf
CELL_PARAMETERS angstrom
-1.980 1.980 3.685
1.980 -1.980 3.685
1.980 1.980 -3.685
ATOMIC_POSITIONS angstrom
Cr 0.000 0.000 0.000
Si 0.000 0.000 3.685
Pt 1.980 0.000 1.842
Pt 0.000 1.980 1.842
```

Output
As for the uncorrected formation energy: -0.30 eV/atom. As for the energy: -28.3 eV per formula unit.

=====

(9)
Ba2SnPtAu6: relaxed, PBE. Values from VASP.

```
&SYSTEM
  ibrav = 0, nat = 10, ntyp = 4
/
ATOMIC_SPECIES
Ba 137.33 Ba.upf
Sn 118.71 Sn.upf
Pt 195.08 Pt.upf
Au 196.97 Au.upf
CELL_PARAMETERS angstrom
5.779 0.000 0.000
2.877 6.732 0.000
2.887 0.370 6.791
ATOMIC_POSITIONS angstrom
Ba 2.876 1.641 2.104
Ba 8.666 5.461 4.687
Sn 0.000 0.000 0.000
Pt 5.771 3.551 3.395
Au 4.365 2.027 5.186
Au 5.784 4.400 6.019
Au 4.363 5.086 1.611
Au 7.178 2.017 5.180
Au 5.758 2.703 0.772
Au 7.177 5.075 1.605
```

Output
The value obtained for the formation energy is -4.75 eV per formula unit. As for the energy: -38.3 eV per formula unit.

=====

(10)
Sr2Tl2IrO6: relaxed, PBE. Values from VASP.

```
&SYSTEM
  ibrav = 0, nat = 11, ntyp = 4
/
ATOMIC_SPECIES
Sr 87.62 Sr.upf
Tl 204.38 Tl.upf
Ir 192.22 Ir.upf
O 16.00 O.upf
CELL_PARAMETERS angstrom
3.070 -5.277 0.000
3.070 5.277 0.000
-1.515 0.000 6.223
ATOMIC_POSITIONS angstrom
Sr 3.070 3.561 0.000
Sr 3.070 -3.561 0.000
Tl 2.313 1.667 3.112
Tl 2.313 -1.667 3.112
Ir 3.070 0.000 0.000
O 0.715 1.432 5.155
O 1.490 0.000 1.265
O 0.715 -1.432 5.155
O 3.910 1.432 1.068
O 3.136 0.000 4.958
O 3.910 -1.432 1.068
```

Output
As for the uncorrected formation energy: -1.45 eV/atom. As for the energy: -62.7 eV per formula unit.

=====

(11)
Mg3AgIr2: relaxed, PBE. Values from VASP.

```
&SYSTEM
  ibrav = 0, nat = 6, ntyp = 3
/
ATOMIC_SPECIES
Mg 24.30 Mg.upf
Ag 107.87 Ag.upf
Ir 192.22 Ir.upf
CELL_PARAMETERS angstrom
3.217 0.000 0.000
0.000 3.217 0.000
0.000 0.000 9.375
ATOMIC_POSITIONS angstrom
Mg 0.000 0.000 0.000
Mg 0.000 0.000 2.920
Mg 0.000 0.000 6.455
Ag 1.608 1.608 4.688
Ir 1.608 1.608 1.533
Ir 1.608 1.608 7.842
```

Output
The value obtained for the formation energy is -1.77 eV per formula unit. As for the energy: -27.1 eV per formula unit.

=====

(12)
PaRe2Si: relaxed, PBE. Values from VASP.

```
&SYSTEM
  ibrav = 0, nat = 4, ntyp = 3
/
ATOMIC_SPECIES
Pa 231.04 Pa.upf
Re 186.21 Re.upf
Si 28.09 Si.upf
CELL_PARAMETERS angstrom
4.277 0.000 0.000
0.000 4.277 0.000
0.000 0.000 3.725
ATOMIC_POSITIONS angstrom
Pa 0.000 0.000 0.000
Re 0.000 2.139 1.863
Re 2.139 0.000 1.863
Si 2.139 2.139 0.000
```

Output
As for the uncorrected formation energy: -0.06 eV/atom. The polymorph energy (0 for the lowest one) is 143 meV per atom. As for the energy: -40.1 eV per formula unit.

=====

(13)
Cs2YBeO: relaxed, PBE. Values from VASP.

```
&SYSTEM
  ibrav = 0, nat = 5, ntyp = 4
/
ATOMIC_SPECIES
Cs 132.91 Cs.upf
Y 88.91 Y.upf
Be 9.01 Be.upf
O 16.00 O.upf
CELL_PARAMETERS angstrom
7.096 0.000 0.000
0.000 7.096 0.000
0.000 0.000 4.856
ATOMIC_POSITIONS angstrom
Cs 0.000 3.548 0.000
Cs 3.548 0.000 0.000
Y 0.000 0.000 0.000
Be 0.000 0.000 2.428
O 3.548 3.548 2.428
```

Output
As for the uncorrected formation energy: 1.16 eV/atom. As for the energy: -11.1 eV per formula unit.

=====

(14)
Ba2MgCd3Ag4: relaxed, PBE. Values from VASP.

```
&SYSTEM
  ibrav = 0, nat = 10, ntyp = 4
/
ATOMIC_SPECIES
Ba 137.33 Ba.upf
Mg 24.30 Mg.upf
Cd 112.41 Cd.upf
Ag 107.87 Ag.upf
CELL_PARAMETERS angstrom
4.898 0.000 0.000
0.000 4.898 0.000
0.000 0.000 11.473
ATOMIC_POSITIONS angstrom
Ba 0.000 2.449 2.761
Ba 2.449 0.000 8.712
Mg 0.000 0.000 5.737
Cd 0.000 2.449 10.029
Cd 2.449 0.000 1.444
Cd 2.449 2.449 5.737
Ag 0.000 0.000 0.000
Ag 0.000 2.449 7.217
Ag 2.449 0.000 4.257
Ag 2.449 2.449 0.000
```

Output
The value obtained for the formation energy is -2.31 eV per formula unit. As for the energy: -21.9 eV per formula unit.

=====

(15)
Na3Er3PuTe8: relaxed, PBE. Values from VASP.

```
&SYSTEM
  ibrav = 0, nat = 15, ntyp = 4
/
ATOMIC_SPECIES
Na 22.99 Na.upf
Er 167.26 Er.upf
Pu 244.00 Pu.upf
Te 127.60 Te.upf
CELL_PARAMETERS angstrom
4.386 2.532 7.592
-4.386 2.532 7.592
0.000 -5.065 7.592
ATOMIC_POSITIONS angstrom
Na -2.193 -1.266 7.592
Na -2.193 1.266 15.184
Na 0.000 2.532 7.592
Er -4.386 0.000 11.388
Er -2.193 1.266 3.796
Er 2.193 1.266 3.796
Pu 0.000 0.000 11.388
Te -2.213 -1.278 13.127
Te 0.000 0.000 5.550
Te 0.000 -2.555 9.649
Te -2.213 1.278 9.649
Te 2.213 -1.278 13.127
Te 0.000 2.555 13.127
Te 0.000 0.000 17.226
Te 2.213 1.278 9.649
```

Output
As for the uncorrected formation energy: -1.18 eV/atom. As for the energy: -74.9 eV per formula unit.

=====

(16)
CuW2Br: relaxed, PBE. Values from VASP.

```
&SYSTEM
  ibrav = 0, nat = 4, ntyp = 3
/
ATOMIC_SPECIES
Cu 63.55 Cu.upf
W 183.84 W.upf
Br 79.90 Br.upf
CELL_PARAMETERS angstrom
3.350 0.000 0.000
0.000 3.146 0.000
-0.041 0.000 7.369
ATOMIC_POSITIONS angstrom
Cu 0.000 0.000 0.000
W 1.683 1.573 1.507
W 3.292 0.000 2.790
Br 3.257 1.573 4.970
```

Output
As for the uncorrected formation energy: 0.53 eV/atom. The polymorph energy (0 for the lowest one) is 0 meV per atom. As for the energy: -29.6 eV per formula unit.

=====

(17)
Tm7Zn2Ag2: relaxed, PBE. Values from VASP.

```
&SYSTEM
  ibrav = 0, nat = 11, ntyp = 3
/
ATOMIC_SPECIES
Tm 168.93 Tm.upf
Zn 65.41 Zn.upf
Ag 107.87 Ag.upf
CELL_PARAMETERS angstrom
3.719 -5.350 0.000
3.719 5.350 0.000
0.000 0.000 7.467
ATOMIC_POSITIONS angstrom
Tm 0.000 0.000 0.000
Tm 1.859 2.675 2.128
Tm 1.859 2.675 5.338
Tm 1.859 -2.675 2.128
Tm 1.859 -2.675 5.338
Tm 3.719 0.000 2.034
Tm 3.719 0.000 5.433
Zn 1.254 0.000 3.733
Zn 6.184 0.000 3.733
Ag 3.719 2.167 0.000
Ag 3.719 -2.167 0.000
```

Output
The value obtained for the formation energy is 0.52 eV per formula unit. As for the energy: -39.0 eV per formula unit.

=====

(18)
Li3LaB: relaxed, PBE. Values from VASP.

```
&SYSTEM
  ibrav = 0, nat = 5, ntyp = 3
/
ATOMIC_SPECIES
Li 6.94 Li.upf
La 138.91 La.upf
B 10.81 B.upf
CELL_PARAMETERS angstrom
5.676 0.000 0.000
0.000 5.676 0.000
0.000 0.000 5.676
ATOMIC_POSITIONS angstrom
Li 0.000 0.000 2.838
Li 0.000 2.838 0.000
Li 2.838 0.000 0.000
La 0.000 0.000 0.000
B 2.838 2.838 2.838
```

Output
The polymorph energy (0 for the lowest one) is 1690 meV per atom. The value obtained for the formation energy is 10.05 eV per formula unit. As for the energy: -7.3 eV per formula unit.

=====

(19)
ScFe4P2: relaxed, PBE. Values from VASP.

```
&SYSTEM
  ibrav = 0, nat = 14, ntyp = 3
/
ATOMIC_SPECIES
Sc 44.96 Sc.upf
Fe 55.84 Fe.upf
P 30.97 P.upf
CELL_PARAMETERS angstrom
6.862 0.000 0.000
0.000 6.862 0.000
0.000 0.000 3.599
ATOMIC_POSITIONS angstrom
Sc 0.000 0.000 0.000
Sc 3.431 3.431 1.799
Fe 0.571 2.334 1.799
Fe 1.097 4.002 0.000
Fe 2.334 0.571 1.799
Fe 2.860 5.765 0.000
Fe 4.002 1.097 0.000
Fe 4.528 6.291 1.799
Fe 5.765 2.860 0.000
Fe 6.291 4.528 1.799
P 1.506 5.357 1.799
P 1.925 1.925 0.000
P 4.937 4.937 0.000
P 5.357 1.506 1.799
```

Output
The value obtained for the formation energy is -4.95 eV per formula unit. As for the energy: -56.0 eV per formula unit.

=====

(20)
CaGeBr3: relaxed, PBE. Values from VASP.

```
&SYSTEM
  ibrav = 0, nat = 5, ntyp = 3
/
ATOMIC_SPECIES
Ca 40.08 Ca.upf
Ge 72.64 Ge.upf
Br 79.90 Br.upf
CELL_PARAMETERS angstrom
5.488 0.000 0.000
0.000 5.488 0.000
0.000 0.000 5.488
ATOMIC_POSITIONS angstrom
Ca 0.000 0.000 0.000
Ge 2.744 2.744 2.744
Br 0.000 2.744 2.744
Br 2.744 0.000 2.744
Br 2.744 2.744 0.000
```

Output
As for the uncorrected formation energy: -0.64 eV/atom. The polymorph energy (0 for the lowest one) is 143 meV per atom. As for the energy: -14.9 eV per formula unit.

=====

(21)
RbNb2SbOs: relaxed, PBE. Values from VASP.

```
&SYSTEM
  ibrav = 0, nat = 5, ntyp = 4
/
ATOMIC_SPECIES
Rb 85.47 Rb.upf
Nb 92.91 Nb.upf
Sb 121.76 Sb.upf
Os 190.23 Os.upf
CELL_PARAMETERS angstrom
5.257 0.000 0.000
0.000 5.257 0.000
0.000 0.000 4.995
ATOMIC_POSITIONS angstrom
Rb 0.000 0.000 0.000
Nb 0.000 2.629 2.497
Nb 2.629 0.000 2.497
Sb 2.629 2.629 2.497
Os 2.629 2.629 0.000
```

Output
As for the uncorrected formation energy: 1.81 eV/atom. As for the energy: -27.4 eV per formula unit.

=====

(22)
Pm6Sm16Er7: relaxed, PBE. Values from VASP.

```
&SYSTEM
  ibrav = 0, nat = 29, ntyp = 3
/
ATOMIC_SPECIES
Pm 145.00 Pm.upf
Sm 150.36 Sm.upf
Er 167.26 Er.upf
CELL_PARAMETERS angstrom
0.000 7.963 7.963
7.963 0.000 7.963
7.963 7.963 0.000
ATOMIC_POSITIONS angstrom
Pm 7.963 7.963 3.614
Pm 7.963 3.614 7.963
Pm 12.313 7.963 7.963
Pm 3.614 7.963 7.963
Pm 7.963 12.313 7.963
Pm 7.963 7.963 12.313
Sm 9.958 5.968 5.968
Sm 2.405 2.405 2.405
Sm 5.558 5.558 2.405
Sm 5.558 2.405 5.558
Sm 5.968 5.968 5.968
Sm 9.958 9.958 5.968
Sm 9.958 5.968 9.958
Sm 13.522 10.369 10.369
Sm 2.405 5.558 5.558
Sm 5.968 9.958 5.968
Sm 5.968 5.968 9.958
Sm 9.958 9.958 9.958
Sm 10.369 13.522 10.369
Sm 10.369 10.369 13.522
Sm 13.522 13.522 13.522
Sm 5.968 9.958 9.958
Er 3.982 3.982 0.000
Er 3.982 0.000 3.982
Er 7.963 3.982 3.982
Er 0.000 3.982 3.982
Er 3.982 7.963 3.982
Er 3.982 3.982 7.963
Er 7.963 7.963 7.963
```

Output
The value obtained for the formation energy is 6.20 eV per formula unit. As for the energy: -129.8 eV per formula unit.

=====

(23)
Hf2ZrMo: relaxed, PBE. Values from VASP.

```
&SYSTEM
  ibrav = 0, nat = 4, ntyp = 3
/
ATOMIC_SPECIES
Hf 178.49 Hf.upf
Zr 91.22 Zr.upf
Mo 95.94 Mo.upf
CELL_PARAMETERS angstrom
0.000 3.427 3.427
3.427 0.000 3.427
3.427 3.427 0.000
ATOMIC_POSITIONS angstrom
Hf 1.713 1.713 1.713
Hf 5.140 5.140 5.140
Zr 0.000 0.000 0.000
Mo 3.427 3.427 3.427
```

Output
The polymorph energy (0 for the lowest one) is 114 meV per atom. The value obtained for the formation energy is 0.41 eV per formula unit. As for the energy: -38.9 eV per formula unit.